Record 1
A plane-wave DFT calculation with PBE was carried out for crystalline Ca2TbCuSe4 at its relaxed geometry.

- energy relative to the elements, uncorrected (eV/f.u.) = -12.05
- space group = P2/m

extended XYZ file:
```
8
Lattice="7.108 0.000 0.000 0.000 4.113 0.000 -2.507 0.000 6.700" Properties=species:S:1:pos:R:3 pbc="T T T"
Ca 0.000 0.000 0.000
Ca 3.554 2.056 0.000
Tb -1.253 2.056 3.350
Cu 2.301 0.000 3.350
Se -0.128 0.000 4.998
Se 1.208 2.056 1.839
Se 3.394 2.056 4.861
Se 4.729 0.000 1.702
```

Record 2
A plane-wave DFT calculation with PBE was carried out for crystalline CaTlCu3Se4 at its relaxed geometry.

- energy relative to the elements, uncorrected (eV/f.u.) = -2.17
- space group = P-43m

extended XYZ file:
```
9
Lattice="6.163 0.000 0.000 0.000 6.163 0.000 0.000 0.000 6.163" Properties=species:S:1:pos:R:3 pbc="T T T"
Ca 0.000 0.000 0.000
Tl 3.081 3.081 3.081
Cu 0.000 3.081 3.081
Cu 3.081 0.000 3.081
Cu 3.081 3.081 0.000
Se 1.582 1.582 4.581
Se 1.582 4.581 1.582
Se 4.581 1.582 1.582
Se 4.581 4.581 4.581
```

Record 3
A plane-wave DFT calculation with PBE was carried out for crystalline CaTmCuSe3 at its relaxed geometry.

- energy relative to the elements, uncorrected (eV/f.u.) = -8.98
- space group = P2_1/m

extended XYZ file:
```
12
Lattice="8.187 0.000 0.000 0.000 3.978 0.000 -2.022 0.000 8.765" Properties=species:S:1:pos:R:3 pbc="T T T"
Ca 1.047 0.995 2.178
Ca 5.117 2.984 6.587
Tm 0.978 2.984 7.276
Tm 5.187 0.995 1.488
Cu -0.516 0.995 5.107
Cu 6.681 2.984 3.658
Se -0.999 0.995 7.544
Se 0.908 2.984 4.485
Se 3.170 2.984 1.399
Se 2.994 0.995 7.366
Se 5.257 0.995 4.280
Se 7.164 2.984 1.220
```

Record 4
A plane-wave DFT calculation with PBE was carried out for crystalline CaVCu3Se4 at its relaxed geometry.

- energy relative to the elements, uncorrected (eV/f.u.) = -5.01
- space group = P-43m

extended XYZ file:
```
9
Lattice="5.956 0.000 0.000 0.000 5.956 0.000 0.000 0.000 5.956" Properties=species:S:1:pos:R:3 pbc="T T T"
Ca 0.000 0.000 0.000
V 2.978 2.978 2.978
Cu 0.000 2.978 2.978
Cu 2.978 0.000 2.978
Cu 2.978 2.978 0.000
Se 1.598 1.598 4.359
Se 1.598 4.359 1.598
Se 4.359 1.598 1.598
Se 4.359 4.359 4.359
```

Record 5
A plane-wave DFT calculation with PBE was carried out for crystalline Ca3Y3CuSe8 at its relaxed geometry.

- energy relative to the elements, uncorrected (eV/f.u.) = -24.85
- space group = C2/m

extended XYZ file:
```
15
Lattice="7.090 -4.093 0.000 7.090 4.093 0.000 -4.727 0.000 6.802" Properties=species:S:1:pos:R:3 pbc="T T T"
Ca 0.000 0.000 0.000
Ca 3.545 2.047 0.000
Ca 3.545 -2.047 0.000
Y 1.181 2.047 3.401
Y 1.181 -2.047 3.401
Y 4.727 0.000 3.401
Cu -2.364 0.000 3.401
Se -0.053 0.000 4.978
Se 3.565 2.086 4.986
Se 5.888 2.086 1.816
Se 2.364 0.000 1.739
Se 7.089 0.000 5.063
Se 3.565 -2.086 4.986
Se 5.888 -2.086 1.816
Se 9.506 0.000 1.824
```

Record 6
A plane-wave DFT calculation with PBE was carried out for crystalline Ca2YCuSe4 at its relaxed geometry.

- energy relative to the elements, uncorrected (eV/f.u.) = -12.07
- space group = P2/m

extended XYZ file:
```
8
Lattice="7.108 0.000 0.000 0.000 4.107 0.000 -2.497 0.000 6.685" Properties=species:S:1:pos:R:3 pbc="T T T"
Ca 0.000 0.000 0.000
Ca 3.554 2.053 0.000
Y -1.249 2.053 3.343
Cu 2.305 0.000 3.343
Se -0.120 0.000 4.982
Se 1.206 2.053 1.838
Se 3.405 2.053 4.848
Se 4.731 0.000 1.704
```